Density functional theory data (PBE-GGA) for Er7Ga2Ru2 after structural relaxation.

Computed properties:
The calculation puts the volume at 25.82 A^3/atom. As for the crystal system: orthorhombic. The value obtained for the energy is -119.640 eV/cell.

Cell and atoms, written as CIF:
```
data_Er7Ga2Ru2
_chemical_formula_sum 'Er14 Ga4 Ru4'
_symmetry_space_group_name_H-M 'C m m m'
_symmetry_Int_Tables_number 65
_symmetry_space_group_name_Hall '-C 2 2'
_cell_length_a 7.568
_cell_length_b 10.739
_cell_length_c 6.990
_cell_angle_alpha 90.00
_cell_angle_beta 90.00
_cell_angle_gamma 90.00
loop_
_atom_site_label
_atom_site_fract_x
_atom_site_fract_y
_atom_site_fract_z
Er1 0.000 0.000 0.000
Er2 0.000 0.500 0.253
Er3 0.250 0.250 0.263
Ga1 0.169 0.000 0.500
Ru1 0.000 0.300 0.000
```

---

Density functional theory data (PBE-GGA) for Er12GaRu6 after structural relaxation.

Computed properties:
The calculation puts the volume at 24.58 A^3/atom. As for the crystal system: trigonal. The value obtained for the energy is -354.274 eV/cell.

Cell and atoms, written as CIF:
```
data_Er12GaRu6
_chemical_formula_sum 'Er36 Ga3 Ru18'
_symmetry_space_group_name_H-M 'R -3'
_symmetry_Int_Tables_number 148
_symmetry_space_group_name_Hall '-R 3'
_cell_length_a 13.4762
_cell_length_b 13.4762
_cell_length_c 8.9068
_cell_angle_alpha 90.00
_cell_angle_beta 90.00
_cell_angle_gamma 120.00
loop_
_atom_site_label
_atom_site_fract_x
_atom_site_fract_y
_atom_site_fract_z
Er1 0.0437 0.2518 0.4243
Er2 0.0524 0.1834 0.8259
Ga1 0.0000 0.0000 0.5000
Ru1 0.0737 0.2538 0.1178
```

---

Density functional theory data (PBE-GGA) for ErGa3Ru2 after structural relaxation.

Computed properties:
The calculation puts the volume at 17.49 A^3/atom. As for the crystal system: orthorhombic. The calculation puts the relative energy among the computed polymorphs at 0.0 meV per atom. The value obtained for the energy is -140.167 eV/cell.

Cell and atoms, written as CIF:
```
data_ErGa3Ru2
_chemical_formula_sum 'Er4 Ga12 Ru8'
_symmetry_space_group_name_H-M 'C m c m'
_symmetry_Int_Tables_number 63
_symmetry_space_group_name_Hall '-C 2c 2'
_cell_length_a 9.126
_cell_length_b 7.901
_cell_length_c 5.823
_cell_angle_alpha 90.00
_cell_angle_beta 90.00
_cell_angle_gamma 90.00
loop_
_atom_site_label
_atom_site_fract_x
_atom_site_fract_y
_atom_site_fract_z
Er1 0.000 0.133 0.250
Ga1 0.000 0.493 0.750
Ga2 0.172 0.228 0.750
Ru1 0.225 0.500 0.000
```

---

Density functional theory data (PBE-GGA) for Er3GaRu after structural relaxation.

Computed properties:
The calculation puts the volume at 23.36 A^3/atom. As for the crystal system: orthorhombic. The calculation puts the relative energy among the computed polymorphs at 0.0 meV per atom. The value obtained for the energy is -227.022 eV/cell.

Cell and atoms, written as CIF:
```
data_Er3GaRu
_chemical_formula_sum 'Er24 Ga8 Ru8'
_symmetry_space_group_name_H-M 'F m m m'
_symmetry_Int_Tables_number 69
_symmetry_space_group_name_Hall '-F 2 2'
_cell_length_a 6.359
_cell_length_b 9.353
_cell_length_c 15.715
_cell_angle_alpha 90.00
_cell_angle_beta 90.00
_cell_angle_gamma 90.00
loop_
_atom_site_label
_atom_site_fract_x
_atom_site_fract_y
_atom_site_fract_z
Er1 0.000 0.000 0.195
Er2 0.000 0.184 0.393
Ga1 0.196 0.000 0.000
Ru1 0.250 0.250 0.250
```

---

Density functional theory data (PBE-GGA) for Er2GaRu after structural relaxation.

Computed properties:
The calculation puts the volume at 20.83 A^3/atom. As for the crystal system: tetragonal. The value obtained for the energy is -23.653 eV/cell.

Cell and atoms, written as CIF:
```
data_Er2GaRu
_chemical_formula_sum 'Er2 Ga1 Ru1'
_symmetry_space_group_name_H-M 'P 4/m m m'
_symmetry_Int_Tables_number 123
_symmetry_space_group_name_Hall '-P 4 2'
_cell_length_a 3.450
_cell_length_b 3.450
_cell_length_c 7.000
_cell_angle_alpha 90.00
_cell_angle_beta 90.00
_cell_angle_gamma 90.00
loop_
_atom_site_label
_atom_site_fract_x
_atom_site_fract_y
_atom_site_fract_z
Er1 0.000 0.000 0.233
Ga1 0.500 0.500 0.500
Ru1 0.500 0.500 0.000
```

---

Density functional theory data (PBE-GGA) for ErGaRu2 after structural relaxation.

Computed properties:
The calculation puts the volume at 16.63 A^3/atom. As for the crystal system: tetragonal. The value obtained for the energy is -27.407 eV/cell.

Cell and atoms, written as CIF:
```
data_ErGaRu2
_chemical_formula_sum 'Er1 Ga1 Ru2'
_symmetry_space_group_name_H-M 'P 4/m m m'
_symmetry_Int_Tables_number 123
_symmetry_space_group_name_Hall '-P 4 2'
_cell_length_a 3.245
_cell_length_b 3.245
_cell_length_c 6.317
_cell_angle_alpha 90.00
_cell_angle_beta 90.00
_cell_angle_gamma 90.00
loop_
_atom_site_label
_atom_site_fract_x
_atom_site_fract_y
_atom_site_fract_z
Er1 0.000 0.000 0.000
Ga1 0.000 0.000 0.500
Ru1 0.500 0.500 0.284
```

---

Density functional theory data (PBE-GGA) for Er5Ga2Ru after structural relaxation.

Computed properties:
The calculation puts the volume at 24.11 A^3/atom. As for the crystal system: tetragonal. The value obtained for the energy is -166.432 eV/cell.

Cell and atoms, written as CIF:
```
data_Er5Ga2Ru
_chemical_formula_sum 'Er20 Ga8 Ru4'
_symmetry_space_group_name_H-M 'I 4/m c m'
_symmetry_Int_Tables_number 140
_symmetry_space_group_name_Hall '-I 4 2c'
_cell_length_a 7.223
_cell_length_b 7.223
_cell_length_c 14.789
_cell_angle_alpha 90.00
_cell_angle_beta 90.00
_cell_angle_gamma 90.00
loop_
_atom_site_label
_atom_site_fract_x
_atom_site_fract_y
_atom_site_fract_z
Er1 0.000 0.000 0.000
Er2 0.176 0.324 0.152
Ga1 0.121 0.379 0.500
Ru1 0.000 0.000 0.250
```

---

Density functional theory data (PBE-GGA) for ErGaRu2 after structural relaxation.

Computed properties:
The calculation puts the volume at 16.41 A^3/atom. As for the crystal system: tetragonal. The value obtained for the energy is -27.432 eV/cell.

Cell and atoms, written as CIF:
```
data_ErGaRu2
_chemical_formula_sum 'Er1 Ga1 Ru2'
_symmetry_space_group_name_H-M 'P 4/m m m'
_symmetry_Int_Tables_number 123
_symmetry_space_group_name_Hall '-P 4 2'
_cell_length_a 4.424
_cell_length_b 4.424
_cell_length_c 3.354
_cell_angle_alpha 90.00
_cell_angle_beta 90.00
_cell_angle_gamma 90.00
loop_
_atom_site_label
_atom_site_fract_x
_atom_site_fract_y
_atom_site_fract_z
Er1 0.000 0.000 0.000
Ga1 0.500 0.500 0.000
Ru1 0.000 0.500 0.500
```